#1
## Be3ReHg (PBE)

Data for Be3ReHg after structural relaxation.

Lattice parameters (Å, degrees): 4.264 4.264 4.264 90.00 90.00 90.00
Fractional coordinates of all 5 atoms:
Be 0.000 0.000 0.500
Be 0.000 0.500 0.000
Be 0.500 0.000 0.000
Re 0.500 0.500 0.500
Hg 0.000 0.000 0.000

#2
## Be3ReHg (PBE)

Data for Be3ReHg after structural relaxation.

Lattice parameters (Å, degrees): 4.313 4.313 4.313 90.00 90.00 90.00
Fractional coordinates of all 5 atoms:
Be 0.000 0.000 0.500
Be 0.000 0.500 0.000
Be 0.500 0.000 0.000
Re 0.000 0.000 0.000
Hg 0.500 0.500 0.500

Tell me which of them is the most stable. Sure, it is #2.